# Ac2UVO6 | the Alexandria database | GGA+U | relaxed
# E_tot in Ry per atom: -0.6331
data_Ac2UVO6
_cell_length_a 5.945
_cell_length_b 6.130
_cell_length_c 10.359
_cell_angle_alpha 90.00
_cell_angle_beta 124.63
_cell_angle_gamma 90.00
_space_group_name_H-M_alt 'P 1 21/c 1'
_space_group_IT_number 14
loop_
_space_group_symop_operation_xyz
'x,y,z'
'-x,-y,-z'
'-x,y+1/2,-z+1/2'
'x,-y+1/2,z+1/2'
loop_
_atom_site_label
_atom_site_type_symbol
_atom_site_fract_x
_atom_site_fract_y
_atom_site_fract_z
Ac1 Ac 0.238 0.051 0.250
U1 U 0.500 0.000 0.000
V1 V 0.000 0.000 0.500
O1 O 0.147 0.202 0.947
O2 O 0.244 0.699 0.945
O3 O 0.351 0.040 0.746